Entry 1:
First-principles (GGA-PBE) data for crystalline NaAg2Sn8 at its relaxed geometry, as listed in Alexandria via LeMat-Bulk.

Its formation energy is 0.0905 eV/atom. The value obtained for the density of states at the Fermi level is 5.44 states/eV/cell. Its volume is 28.22 Å³/atom. The calculation puts the calculated total energy at -0.1271 Ha/atom.

Lattice parameters (Å, degrees): 7.009 7.009 6.320 90.00 90.00 90.00
Space group P4/mmm (No. 123)
One atom of each set of equivalent atoms:
Na 0.000 0.000 0.000 [1 per cell]
Ag 0.000 0.500 0.500 [2 per cell]
Sn 0.280 0.280 0.242 [8 per cell]

Entry 2:
First-principles (GGA-PBE) data for crystalline La2In2Rh at its relaxed geometry, as listed in Alexandria via LeMat-Bulk.

Its formation energy is 0.3685 eV/atom. The value obtained for the density of states at the Fermi level is 9.60 states/eV/cell. As for the distance to the lowest polymorph of the same formula: 3.78 eV per formula unit. Its volume is 27.21 Å³/atom. The calculation puts the calculated total energy at -0.1532 Ha/atom.

Lattice parameters (Å, degrees): 4.213 4.213 15.329 90.00 90.00 90.00
Space group I4/mmm (No. 139)
One atom of each set of equivalent atoms:
La 0.000 0.500 0.250 [4 per cell]
In 0.000 0.000 0.086 [4 per cell]
Rh 0.000 0.000 0.500 [2 per cell]

- Among the records above, which one has the lowest calculated total energy?
  La2In2Rh